DFT (PBE) results for YFeAsIr after structural relaxation.

a b c (Å): 4.597 4.597 4.597
angles (deg): 60.00 60.00 60.00
Positions (direct):
Y (0.000, 0.000, 0.000)
Fe (0.500, 0.500, 0.500)
As (0.250, 0.250, 0.250)
Ir (0.750, 0.750, 0.750)

Results
Excess energy over the best structure of this formula in the dataset (eV/f.u.): 0.065
Spin magnetization (μB per formula unit): 3.47
VASP energy (eV per atom): -7.1618
Space-group type: No. 216